# Zn12Cu3Ni (PBE, optimized geometry)
# Raw total energy   -2.142 eV per atom
# ΔH_f (0 K)   -88 kJ/mol of formula units
# DOS(E_F)   5.36 states/eV/f.u.
data_Zn12Cu3Ni
_space_group_name_H-M_alt 'P 4/m m m'
_space_group_IT_number 123
_space_group_name_Hall '-P 4 2'
_cell_length_a 3.759
_cell_length_b 3.759
_cell_length_c 15.469
_cell_angle_alpha 90.00
_cell_angle_beta 90.00
_cell_angle_gamma 90.00
loop_
_atom_site_label
_atom_site_type_symbol
_atom_site_fract_x
_atom_site_fract_y
_atom_site_fract_z
Zn1 Zn 0.000 0.000 0.000
Zn2 Zn 0.000 0.000 0.248
Zn3 Zn 0.000 0.000 0.500
Zn4 Zn 0.000 0.500 0.122
Zn5 Zn 0.000 0.500 0.374
Cu1 Cu 0.500 0.500 0.249
Cu2 Cu 0.500 0.500 0.500
Ni1 Ni 0.500 0.500 0.000

# Zn4CuNi (PBE, optimized geometry)
# Raw total energy   -2.607 eV per atom
# ΔH_f (0 K)   -65 kJ/mol of formula units
# DOS(E_F)   2.08 states/eV/f.u.
# Relative energy among the computed polymorphs   0.0 meV/atom
data_Zn4CuNi
_space_group_name_H-M_alt 'C 1 2/m 1'
_space_group_IT_number 12
_cell_length_a 10.890
_cell_length_b 2.742
_cell_length_c 5.548
_cell_angle_alpha 90.00
_cell_angle_beta 105.05
_cell_angle_gamma 90.00
loop_
_space_group_symop_operation_xyz
'x,y,z'
'-x,-y,-z'
'-x,y,-z'
'x,-y,z'
'x+1/2,y+1/2,z'
'-x+1/2,-y+1/2,-z'
'-x+1/2,y+1/2,-z'
'x+1/2,-y+1/2,z'
loop_
_atom_site_label
_atom_site_type_symbol
_atom_site_fract_x
_atom_site_fract_y
_atom_site_fract_z
Zn1 Zn 0.156 0.000 0.334
Zn2 Zn 0.159 0.000 0.825
Cu1 Cu 0.000 0.500 0.000
Ni1 Ni 0.000 0.500 0.500

# ZnCu6Ni (PBE, optimized geometry)
# Raw total energy   -3.543 eV per atom
# ΔH_f (0 K)   317 kJ/mol of formula units
# DOS(E_F)   3.47 states/eV/f.u.
# Relative energy among the computed polymorphs   439.3 meV/atom
data_ZnCu6Ni
_space_group_name_H-M_alt 'R -3 m'
_space_group_IT_number 166
_space_group_name_Hall '-R 3 2"'
_cell_length_a 6.6172
_cell_length_b 6.6172
_cell_length_c 9.0584
_cell_angle_alpha 90.00
_cell_angle_beta 90.00
_cell_angle_gamma 120.00
loop_
_atom_site_label
_atom_site_type_symbol
_atom_site_fract_x
_atom_site_fract_y
_atom_site_fract_z
Zn1 Zn 0.0000 0.0000 0.0000
Cu1 Cu 0.0870 0.5435 0.3793
Ni1 Ni 0.0000 0.0000 0.5000